1.
Below is a geometry-optimized TcMoIr2 structure, with properties calculated at the GGA-PBE level.

## Properties
The calculation puts the total energy at -9.98 eV per atom. Its space group is C2/m (12). The polymorph energy (0 for the lowest one) is 84.5 meV per atom. The value obtained for the density of states at the Fermi level is 0.8012 states/eV/atom.

Unit cell a=4.7827 b=5.5174 c=5.5174 alpha=59.65 beta=72.78 gamma=72.78
Element x y z (fractional)
Tc  0.7539  0.3731  0.3731
Tc  0.2461  0.6269  0.6269
Mo  0.7643  0.8684  0.8684
Mo  0.2357  0.1316  0.1316
Ir  0.2517  0.6243  0.1270
Ir  0.7483  0.8730  0.3757
Ir  0.7483  0.3757  0.8730
Ir  0.2517  0.1270  0.6243


2.
Below is a geometry-optimized TcMoIr structure, with properties calculated at the GGA-PBE level.

## Properties
The calculation puts the total energy at -10.17 eV per atom. Its space group is Cm (8). The polymorph energy (0 for the lowest one) is 19.3 meV per atom. The value obtained for the density of states at the Fermi level is 0.9530 states/eV/atom.

Unit cell a=5.5231 b=3.9072 c=8.7304 alpha=90.00 beta=108.10 gamma=90.00
Element x y z (fractional)
Tc  0.2504  0.0000  0.9615
Tc  0.2504  0.5000  0.4615
Tc  0.0883  0.0000  0.6299
Tc  0.0883  0.5000  0.1299
Mo  0.4129  0.0000  0.2918
Mo  0.4129  0.5000  0.7918
Mo  0.7610  0.0000  0.9677
Mo  0.7610  0.5000  0.4677
Ir  0.9183  0.0000  0.2972
Ir  0.9183  0.5000  0.7972
Ir  0.5867  0.0000  0.6284
Ir  0.5867  0.5000  0.1284


3.
Below is a geometry-optimized TcMoIr structure, with properties calculated at the GGA-PBE level.

## Properties
The calculation puts the total energy at -10.10 eV per atom. Its space group is C2 (5). The polymorph energy (0 for the lowest one) is 87.5 meV per atom. The value obtained for the density of states at the Fermi level is 1.1190 states/eV/atom.

Unit cell a=4.7864 b=8.3111 c=4.8090 alpha=90.00 beta=110.02 gamma=90.00
Element x y z (fractional)
Tc  0.5000  0.5354  0.5000
Tc  0.5000  0.0354  0.0000
Tc  0.0000  0.2099  0.0000
Tc  0.0000  0.7099  0.5000
Mo  0.5000  0.1936  0.5000
Mo  0.5000  0.6936  0.0000
Mo  0.0000  0.8798  0.0000
Mo  0.0000  0.3798  0.5000
Ir  0.0000  0.5407  0.0000
Ir  0.0000  0.0407  0.5000
Ir  0.5000  0.8645  0.5000
Ir  0.5000  0.3645  0.0000


4.
Below is a geometry-optimized TcMoIr structure, with properties calculated at the GGA-PBE level.

## Properties
The calculation puts the total energy at -10.08 eV per atom. Its space group is Imm2 (44). The polymorph energy (0 for the lowest one) is 107.3 meV per atom. The value obtained for the density of states at the Fermi level is 1.1340 states/eV/atom.

Unit cell a=4.8250 b=4.8250 c=4.8250 alpha=147.28 beta=131.73 gamma=59.54
Element x y z (fractional)
Ir  0.0019  0.0019  0.0000
Mo  0.3338  0.3338  0.0000
Tc  0.6643  0.6643  0.0000


5.
Below is a geometry-optimized TcMoIr2 structure, with properties calculated at the GGA-PBE level.

## Properties
The calculation puts the total energy at -9.89 eV per atom. Its space group is Cm (8). The polymorph energy (0 for the lowest one) is 166.4 meV per atom. The value obtained for the density of states at the Fermi level is 0.9081 states/eV/atom.

Unit cell a=4.7629 b=4.7629 c=4.8086 alpha=80.53 beta=80.53 gamma=33.50
Element x y z (fractional)
Ir  0.0022  0.0022  0.9848
Ir  0.2489  0.2489  0.2590
Mo  0.5016  0.5016  0.4894
Tc  0.7473  0.7473  0.7668


6.
Below is a geometry-optimized TcMoIr2 structure, with properties calculated at the GGA-PBE level.

## Properties
The calculation puts the total energy at -9.83 eV per atom. Its space group is R-3m (166). The polymorph energy (0 for the lowest one) is 233.1 meV per atom. The value obtained for the density of states at the Fermi level is 1.1771 states/eV/atom.

Unit cell a=9.1115 b=9.1115 c=9.1115 alpha=17.44 beta=17.44 gamma=17.44
Element x y z (fractional)
Ir  0.0009  0.0009  0.0009
Ir  0.4991  0.4991  0.4991
Mo  0.2500  0.2500  0.2500
Tc  0.7500  0.7500  0.7500


7.
Below is a geometry-optimized TcMoIr structure, with properties calculated at the GGA-PBE level.

## Properties
The calculation puts the total energy at -10.12 eV per atom. Its space group is C2/m (12). The polymorph energy (0 for the lowest one) is 69.3 meV per atom. The value obtained for the density of states at the Fermi level is 0.9911 states/eV/atom.

Unit cell a=5.5256 b=3.8994 c=8.7885 alpha=90.00 beta=108.62 gamma=90.00
Element x y z (fractional)
Tc  0.6641  0.0000  0.3286
Tc  0.3359  0.0000  0.6714
Tc  0.6641  0.5000  0.8286
Tc  0.3359  0.5000  0.1714
Mo  0.5000  0.5000  0.5000
Mo  0.5000  0.0000  0.0000
Mo  0.0000  0.0000  0.0000
Mo  0.0000  0.5000  0.5000
Ir  0.1656  0.0000  0.3333
Ir  0.8344  0.0000  0.6667
Ir  0.1656  0.5000  0.8333
Ir  0.8344  0.5000  0.1667


8.
Below is a geometry-optimized TcMo2Ir2 structure, with properties calculated at the GGA-PBE level.

## Properties
The calculation puts the total energy at -9.91 eV per atom. Its space group is P4/mbm (127). The value obtained for the density of states at the Fermi level is 0.8223 states/eV/atom.

Unit cell a=7.5426 b=7.5426 c=2.7715 alpha=90.00 beta=90.00 gamma=90.00
Element x y z (fractional)
Mo  0.1711  0.6711  0.5000
Mo  0.6711  0.8289  0.5000
Mo  0.8289  0.3289  0.5000
Mo  0.3289  0.1711  0.5000
Ir  0.3739  0.8739  0.0000
Ir  0.8739  0.6261  0.0000
Ir  0.6261  0.1261  0.0000
Ir  0.1261  0.3739  0.0000
Tc  0.0000  0.0000  0.0000
Tc  0.5000  0.5000  0.0000


9.
Below is a geometry-optimized TiTcMoIr structure, with properties calculated at the GGA-PBE level.

## Properties
The calculation puts the total energy at -9.77 eV per atom. Its space group is F-43m (216). The value obtained for the density of states at the Fermi level is 1.1093 states/eV/atom.

Unit cell a=4.4098 b=4.4098 c=4.4098 alpha=60.00 beta=60.00 gamma=60.00
Element x y z (fractional)
Mo  0.7500  0.7500  0.7500
Ir  0.0000  0.0000  0.0000
Tc  0.5000  0.5000  0.5000
Ti  0.2500  0.2500  0.2500


10.
Below is a geometry-optimized Tl2TcMoIr structure, with properties calculated at the GGA-PBE level.

## Properties
The calculation puts the total energy at -5.28 eV per atom. Its space group is P4/mmm (123). The value obtained for the density of states at the Fermi level is 1.3083 states/eV/atom.

Unit cell a=5.1760 b=4.6340 c=5.1760 alpha=90.00 beta=90.00 gamma=90.00
Element x y z (fractional)
Mo  0.0000  0.5000  0.0000
Tl  0.0000  0.0000  0.5000
Tl  0.5000  0.0000  0.0000
Ir  0.5000  0.5000  0.5000
Tc  0.0000  0.0000  0.0000


11.
Below is a geometry-optimized ZnTc2MoIr structure, with properties calculated at the GGA-PBE level.

## Properties
The calculation puts the total energy at -6.70 eV per atom. Its space group is P4/mmm (123). The value obtained for the density of states at the Fermi level is 1.0562 states/eV/atom.

Unit cell a=4.7018 b=4.6132 c=4.7018 alpha=90.00 beta=90.00 gamma=90.00
Element x y z (fractional)
Zn  0.0000  0.5000  0.0000
Mo  0.5000  0.5000  0.5000
Ir  0.0000  0.0000  0.0000
Tc  0.0000  0.0000  0.5000
Tc  0.5000  0.0000  0.0000


12.
Below is a geometry-optimized ZnTcMoIr structure, with properties calculated at the GGA-PBE level.

## Properties
The calculation puts the total energy at -7.89 eV per atom. Its space group is F-43m (216). The value obtained for the density of states at the Fermi level is 0.4082 states/eV/atom.

Unit cell a=4.3676 b=4.3676 c=4.3676 alpha=60.00 beta=60.00 gamma=60.00
Element x y z (fractional)
Zn  0.0000  0.0000  0.0000
Mo  0.5000  0.5000  0.5000
Ir  0.2500  0.2500  0.2500
Tc  0.7500  0.7500  0.7500